VASP calculation (PBE) on a relaxed PmH6Au2 crystal.

Cell: 9.104 10.610 8.117 Å, 90.00 90.00 90.00°
Space group Fdd2 (No. 43)
Symmetry-distinct sites (fractional):
Pm1 0.000 0.000 0.000 (multiplicity 8)
H1 0.043 0.102 0.260 (multiplicity 16)
H2 0.064 0.167 0.750 (multiplicity 16)
H3 0.112 0.199 0.034 (multiplicity 16)
Au1 0.064 0.306 0.887 (multiplicity 16)

Results
**Crystal system**: orthorhombic
**Density**: 9.23 Mg/m³
**V**: 10.9 Å³ per atom
**Calculated total energy**: -3.574 eV/atom